# U2BeGe3Pt4 GGA-PBE relaxed
data_U2BeGe3Pt4
_chemical_formula_sum 'U2 Be1 Ge3 Pt4'
_cell_length_a 4.1684
_cell_length_b 4.1684
_cell_length_c 10.3325
_cell_angle_alpha 90.00
_cell_angle_beta 90.00
_cell_angle_gamma 90.00
_space_group_name_H-M_alt 'P -4 m 2'
_space_group_IT_number 115
loop_
_space_group_symop_operation_xyz
'x,y,z'
'y,-x,-z'
'-x,-y,z'
'-y,x,-z'
'-x,y,z'
'-y,-x,-z'
'x,-y,z'
'y,x,-z'
loop_
_atom_site_label
_atom_site_type_symbol
_atom_site_fract_x
_atom_site_fract_y
_atom_site_fract_z
U1 U 0.0000 0.5000 0.2399
Be1 Be 0.5000 0.5000 0.0000
Ge1 Ge 0.0000 0.0000 0.0000
Ge2 Ge 0.0000 0.5000 0.6407
Pt1 Pt 0.0000 0.0000 0.5000
Pt2 Pt 0.0000 0.5000 0.8765
Pt3 Pt 0.5000 0.5000 0.5000
# - Final energy: -6.979 eV/atom
# - ΔH_f (0 K): -528 kJ/mol of formula units